No. 1
! Be3CrRe PBE optimized geometry; values from VASP
&SYSTEM
  ibrav = 0, nat = 5, ntyp = 3
/
ATOMIC_SPECIES
Re 186.21 Re.upf
Be 9.01 Be.upf
Cr 52.00 Cr.upf
CELL_PARAMETERS angstrom
4.196 0.000 0.000
0.000 4.196 0.000
0.000 0.000 4.196
ATOMIC_POSITIONS angstrom
Re 0.000 0.000 0.000
Be 0.000 2.098 0.000
Be 0.000 0.000 2.098
Be 2.098 0.000 0.000
Cr 2.098 2.098 2.098
! ΔH_f (0 K) (eV/atom): 1.09
! Electronic total energy (eV per atom): -5.565
! ΔE to the lowest computed polymorph (kJ/mol of formula units): 0
! Symmetry: No. 221
! Density (g cm⁻³): 5.96



No. 2
! BaNdEu2 PBE optimized geometry; values from VASP
&SYSTEM
  ibrav = 0, nat = 4, ntyp = 3
/
ATOMIC_SPECIES
Eu 151.96 Eu.upf
Nd 144.24 Nd.upf
Ba 137.33 Ba.upf
CELL_PARAMETERS angstrom
-2.663 3.415 0.506
-4.363 -3.792 2.630
2.500 1.099 5.734
ATOMIC_POSITIONS angstrom
Eu 1.250 0.550 2.867
Eu -2.182 -1.896 1.315
Nd -2.263 0.361 4.435
Ba -1.332 1.708 0.253
! ΔH_f (0 K) (eV/atom): 0.15
! Electronic total energy (eV per atom): -6.660
! ΔE to the lowest computed polymorph (kJ/mol of formula units): 24
! Symmetry: No. 123
! Density (g cm⁻³): 5.53